#1
# PBE-GGA BePt2Cl, optimized geometry
# calculated density	11186	kg/m³
# magnetic moment	0.00	μB/cell
data_BePt2Cl
_chemical_formula_sum 'Be2 Pt4 Cl2'
_cell_length_a 5.350
_cell_length_b 6.676
_cell_length_c 3.613
_cell_angle_alpha 90.00
_cell_angle_beta 90.00
_cell_angle_gamma 90.00
_space_group_name_H-M_alt 'C m m m'
_space_group_IT_number 65
_space_group_name_Hall '-C 2 2'
loop_
_atom_site_label
_atom_site_fract_x
_atom_site_fract_y
_atom_site_fract_z
Be1 0.000 0.000 0.000
Pt1 0.000 0.202 0.500
Cl1 0.000 0.500 0.000

#2
# PBE-GGA BePt2Cl, optimized geometry
# calculated density	11273	kg/m³
# magnetic moment	0.00	μB/cell
data_BePt2Cl
_chemical_formula_sum 'Be4 Pt8 Cl4'
_cell_length_a 3.996
_cell_length_b 3.996
_cell_length_c 16.037
_cell_angle_alpha 90.00
_cell_angle_beta 90.00
_cell_angle_gamma 90.00
_space_group_name_H-M_alt 'I -4 2 d'
_space_group_IT_number 122
_space_group_name_Hall 'I -4 2bw'
loop_
_atom_site_label
_atom_site_fract_x
_atom_site_fract_y
_atom_site_fract_z
Be1 0.000 0.000 0.000
Pt1 0.229 0.250 0.125
Cl1 0.000 0.000 0.500

#3
# PBE-GGA BePt2Cl, optimized geometry
# calculated density	11960	kg/m³
# magnetic moment	0.00	μB/cell
data_BePt2Cl
_chemical_formula_sum 'Be2 Pt4 Cl2'
_cell_length_a 3.508
_cell_length_b 3.508
_cell_length_c 9.810
_cell_angle_alpha 90.00
_cell_angle_beta 90.00
_cell_angle_gamma 90.00
_space_group_name_H-M_alt 'I -4 m 2'
_space_group_IT_number 119
_space_group_name_Hall 'I -4 -2'
loop_
_atom_site_label
_atom_site_fract_x
_atom_site_fract_y
_atom_site_fract_z
Be1 0.000 0.000 0.000
Pt1 0.000 0.000 0.500
Pt2 0.000 0.500 0.250
Cl1 0.000 0.500 0.750

#4
# PBE-GGA BePt2Cl, optimized geometry
# calculated density	10541	kg/m³
# magnetic moment	0.00	μB/cell
data_BePt2Cl
_chemical_formula_sum 'Be2 Pt4 Cl2'
_cell_length_a 6.822
_cell_length_b 2.827
_cell_length_c 7.459
_cell_angle_alpha 90.00
_cell_angle_beta 107.84
_cell_angle_gamma 90.00
_space_group_name_H-M_alt 'C 1 2/m 1'
_space_group_IT_number 12
loop_
_space_group_symop_operation_xyz
'x,y,z'
'-x,-y,-z'
'-x,y,-z'
'x,-y,z'
'x+1/2,y+1/2,z'
'-x+1/2,-y+1/2,-z'
'-x+1/2,y+1/2,-z'
'x+1/2,-y+1/2,z'
loop_
_atom_site_label
_atom_site_fract_x
_atom_site_fract_y
_atom_site_fract_z
Be1 0.000 0.000 0.000
Pt1 0.156 0.500 0.834
Cl1 0.000 0.500 0.500

Most stable structure, least stable structure: #4, #3.

#1
# PBE-GGA BePt2Cl, optimized geometry
# calculated density	12327	kg/m³
# magnetic moment	0.00	μB/cell
data_BePt2Cl
_chemical_formula_sum 'Be2 Pt4 Cl2'
_cell_length_a 5.772
_cell_length_b 7.061
_cell_length_c 2.873
_cell_angle_alpha 90.00
_cell_angle_beta 90.00
_cell_angle_gamma 90.00
_space_group_name_H-M_alt 'C m m m'
_space_group_IT_number 65
_space_group_name_Hall '-C 2 2'
loop_
_atom_site_label
_atom_site_fract_x
_atom_site_fract_y
_atom_site_fract_z
Be1 0.000 0.000 0.000
Pt1 0.250 0.250 0.500
Cl1 0.000 0.500 0.000

#2
# PBE-GGA BePt2Cl, optimized geometry
# calculated density	11320	kg/m³
# magnetic moment	0.00	μB/cell
data_BePt2Cl
_chemical_formula_sum 'Be1 Pt2 Cl1'
_cell_length_a 2.803
_cell_length_b 2.803
_cell_length_c 8.115
_cell_angle_alpha 90.00
_cell_angle_beta 90.00
_cell_angle_gamma 90.00
_space_group_name_H-M_alt 'P 4 m m'
_space_group_IT_number 99
loop_
_space_group_symop_operation_xyz
'x,y,z'
'-y,x,z'
'-x,-y,z'
'y,-x,z'
'-x,y,z'
'y,x,z'
'x,-y,z'
'-y,-x,z'
loop_
_atom_site_label
_atom_site_fract_x
_atom_site_fract_y
_atom_site_fract_z
Be1 0.000 0.000 0.000
Pt1 0.000 0.000 0.559
Pt2 0.500 0.500 0.811
Cl1 0.500 0.500 0.169

#3
# PBE-GGA BePt2Cl, optimized geometry
# calculated density	12293	kg/m³
# magnetic moment	0.00	μB/cell
data_BePt2Cl
_chemical_formula_sum 'Be2 Pt4 Cl2'
_cell_length_a 4.024
_cell_length_b 4.088
_cell_length_c 7.139
_cell_angle_alpha 90.00
_cell_angle_beta 90.00
_cell_angle_gamma 90.00
_space_group_name_H-M_alt 'C m m m'
_space_group_IT_number 65
_space_group_name_Hall '-C 2 2'
loop_
_atom_site_label
_atom_site_fract_x
_atom_site_fract_y
_atom_site_fract_z
Be1 0.000 0.000 0.000
Pt1 0.000 0.500 0.191
Cl1 0.000 0.000 0.500

#4
# PBE-GGA BePt2Cl, optimized geometry
# calculated density	11345	kg/m³
# magnetic moment	0.00	μB/cell
data_BePt2Cl
_chemical_formula_sum 'Be2 Pt4 Cl2'
_cell_length_a 2.954
_cell_length_b 3.304
_cell_length_c 13.036
_cell_angle_alpha 90.00
_cell_angle_beta 90.00
_cell_angle_gamma 90.00
_space_group_name_H-M_alt 'I m m 2'
_space_group_IT_number 44
loop_
_space_group_symop_operation_xyz
'x,y,z'
'-x,-y,z'
'-x,y,z'
'x,-y,z'
'x+1/2,y+1/2,z+1/2'
'-x+1/2,-y+1/2,z+1/2'
'-x+1/2,y+1/2,z+1/2'
'x+1/2,-y+1/2,z+1/2'
loop_
_atom_site_label
_atom_site_fract_x
_atom_site_fract_y
_atom_site_fract_z
Be1 0.000 0.000 0.000
Pt1 0.000 0.000 0.428
Pt2 0.000 0.500 0.111
Cl1 0.000 0.500 0.766

Most stable structure, least stable structure: #3, #1.

#1
# PBE-GGA BePt2Cl, optimized geometry
# calculated density	12459	kg/m³
# magnetic moment	0.00	μB/cell
data_BePt2Cl
_chemical_formula_sum 'Be4 Pt8 Cl4'
_cell_length_a 6.142
_cell_length_b 6.142
_cell_length_c 6.142
_cell_angle_alpha 90.00
_cell_angle_beta 90.00
_cell_angle_gamma 90.00
_space_group_name_H-M_alt 'F m -3 m'
_space_group_IT_number 225
_space_group_name_Hall '-F 4 2 3'
loop_
_atom_site_label
_atom_site_fract_x
_atom_site_fract_y
_atom_site_fract_z
Be1 0.000 0.000 0.000
Pt1 0.250 0.250 0.250
Cl1 0.000 0.000 0.500

#2
# PBE-GGA BePt2Cl, optimized geometry
# calculated density	11053	kg/m³
# magnetic moment	0.00	μB/cell
data_BePt2Cl
_chemical_formula_sum 'Be3 Pt6 Cl3'
_cell_length_a 2.7556
_cell_length_b 2.7556
_cell_length_c 29.7889
_cell_angle_alpha 90.00
_cell_angle_beta 90.00
_cell_angle_gamma 120.00
_space_group_name_H-M_alt 'R -3 m'
_space_group_IT_number 166
_space_group_name_Hall '-R 3 2"'
loop_
_atom_site_label
_atom_site_fract_x
_atom_site_fract_y
_atom_site_fract_z
Be1 0.0000 0.0000 0.0000
Pt1 0.0000 0.0000 0.2751
Cl1 0.0000 0.0000 0.5000

Most stable structure, least stable structure: #2, #1.

#1
# PBE-GGA BePtCl, optimized geometry
# calculated density	8415	kg/m³
# magnetic moment	0.00	μB/cell
data_BePtCl
_chemical_formula_sum 'Be1 Pt1 Cl1'
_cell_length_a 4.2288
_cell_length_b 4.2288
_cell_length_c 3.0522
_cell_angle_alpha 90.00
_cell_angle_beta 90.00
_cell_angle_gamma 120.00
_space_group_name_H-M_alt 'P 3 m 1'
_space_group_IT_number 156
loop_
_space_group_symop_operation_xyz
'x,y,z'
'-y,x-y,z'
'-x+y,-x,z'
'-y,-x,z'
'-x+y,y,z'
'x,x-y,z'
loop_
_atom_site_label
_atom_site_fract_x
_atom_site_fract_y
_atom_site_fract_z
Be1 0.0000 0.0000 0.0000
Pt1 0.3333 0.6667 0.9390
Cl1 0.6667 0.3333 0.7218

#2
# PBE-GGA BePtCl, optimized geometry
# calculated density	8023	kg/m³
# magnetic moment	0.00	μB/cell
data_BePtCl
_chemical_formula_sum 'Be4 Pt4 Cl4'
_cell_length_a 5.832
_cell_length_b 5.832
_cell_length_c 5.832
_cell_angle_alpha 90.00
_cell_angle_beta 90.00
_cell_angle_gamma 90.00
_space_group_name_H-M_alt 'F -4 3 m'
_space_group_IT_number 216
_space_group_name_Hall 'F -4 2 3'
loop_
_atom_site_label
_atom_site_fract_x
_atom_site_fract_y
_atom_site_fract_z
Be1 0.000 0.000 0.000
Pt1 0.250 0.250 0.750
Cl1 0.000 0.000 0.500

Most stable structure, least stable structure: #2, #1.